Record 1
The following is a DFT calculation (PBE) of a geometry-optimized Li2SnCl4 structure.

Output
**Formation energy (no corrections)**: -1.393 eV/atom
**Symmetry**: P-42m, No. 111
**D(E_F)**: 0.0 states/eV per cell

Cell lengths 5.614, 5.614, 6.370 Å; angles 90.00, 90.00, 90.00 degrees
Fractional positions:
Li  0.000  0.500  0.000
Li  0.500  0.000  0.000
Sn  0.000  0.000  0.500
Cl  0.259  0.259  0.786
Cl  0.259  0.741  0.214
Cl  0.741  0.259  0.214
Cl  0.741  0.741  0.786

Record 2
The following is a DFT calculation (PBE) of a geometry-optimized NaI2O5 structure.

Output
**Formation energy (no corrections)**: -0.488 eV/atom
**Symmetry**: Pbcn, No. 60
**D(E_F)**: 11.0 states/eV per cell

Cell lengths 7.696, 11.385, 6.991 Å; angles 90.00, 90.00, 90.00 degrees
Fractional positions:
Na  0.000  0.049  0.250
Na  0.000  0.951  0.750
Na  0.500  0.451  0.750
Na  0.500  0.549  0.250
I  0.148  0.338  0.027
I  0.148  0.662  0.527
I  0.352  0.162  0.527
I  0.352  0.838  0.027
I  0.648  0.162  0.973
I  0.648  0.838  0.473
I  0.852  0.338  0.473
I  0.852  0.662  0.973
O  0.000  0.407  0.250
O  0.000  0.593  0.750
O  0.152  0.077  0.538
O  0.152  0.923  0.038
O  0.213  0.208  0.164
O  0.213  0.792  0.664
O  0.287  0.292  0.664
O  0.287  0.708  0.164
O  0.348  0.423  0.038
O  0.348  0.577  0.538
O  0.500  0.093  0.750
O  0.500  0.907  0.250
O  0.652  0.423  0.462
O  0.652  0.577  0.962
O  0.713  0.292  0.836
O  0.713  0.708  0.336
O  0.787  0.208  0.336
O  0.787  0.792  0.836
O  0.848  0.077  0.962
O  0.848  0.923  0.462

Record 3
The following is a DFT calculation (PBE) of a geometry-optimized CaAcEu structure.

Output
**Symmetry**: P3m1, No. 156
**Energy of formation**: 0.014 eV per atom
**D(E_F)**: 7.0 states/eV per cell

Cell lengths 3.927, 3.927, 9.658 Å; angles 90.00, 90.00, 120.00 degrees
Fractional positions:
Ca  0.000  0.000  0.000
Ac  0.333  0.667  0.665
Eu  0.667  0.333  0.333

Record 4
The following is a DFT calculation (PBE) of a geometry-optimized Pr6SmDy2Y3 structure.

Output
**Symmetry**: C2/m, No. 12
**Energy of formation**: 0.009 eV per atom
**D(E_F)**: 14.1 states/eV per cell

Cell lengths 6.333, 6.333, 11.952 Å; angles 95.05, 95.05, 120.01 degrees
Fractional positions:
Pr  0.082  0.416  0.250
Pr  0.250  0.250  0.750
Pr  0.416  0.082  0.250
Pr  0.584  0.918  0.750
Pr  0.750  0.750  0.250
Pr  0.918  0.584  0.750
Sm  0.500  0.500  0.500
Dy  0.167  0.833  0.500
Dy  0.833  0.167  0.500
Y  0.000  0.000  0.000
Y  0.333  0.667  0.000
Y  0.667  0.333  0.000

Record 5
The following is a DFT calculation (PBE) of a geometry-optimized RbLiGaBi2 structure.

Output
**Symmetry**: I-4m2, No. 119
**Energy of formation**: -0.296 eV per atom
**D(E_F)**: 3.7 states/eV per cell

Cell lengths 9.040, 9.040, 9.040 Å; angles 152.06, 152.06, 39.93 degrees
Fractional positions:
Rb  0.000  0.000  0.000
Li  0.750  0.250  0.500
Ga  0.250  0.750  0.500
Bi  0.358  0.358  0.000
Bi  0.642  0.642  0.000

Record 6
The following is a DFT calculation (PBE) of a geometry-optimized ScFeSe structure.

Output
**Formation energy (no corrections)**: -0.629 eV/atom
**Symmetry**: P-6m2, No. 187
**D(E_F)**: 2.5 states/eV per cell

Cell lengths 4.015, 4.015, 3.482 Å; angles 90.00, 90.00, 120.00 degrees
Fractional positions:
Sc  0.000  0.000  0.000
Fe  0.333  0.667  0.500
Se  0.667  0.333  0.500

Record 7
The following is a DFT calculation (PBE) of a geometry-optimized Pm8Sm5Tl structure.

Output
**Symmetry**: I-4, No. 82
**Energy of formation**: 0.184 eV per atom
**D(E_F)**: 19.8 states/eV per cell

Cell lengths 8.580, 8.580, 8.580 Å; angles 109.92, 109.92, 108.59 degrees
Fractional positions:
Pm  0.188  0.412  0.603
Pm  0.335  0.233  0.235
Pm  0.415  0.812  0.224
Pm  0.588  0.191  0.776
Pm  0.767  0.002  0.103
Pm  0.809  0.585  0.397
Pm  0.899  0.665  0.897
Pm  0.998  0.101  0.765
Sm  0.068  0.459  0.194
Sm  0.126  0.932  0.392
Sm  0.265  0.874  0.806
Sm  0.541  0.735  0.608
Sm  0.750  0.250  0.500
Tl  0.500  0.500  0.000

Record 8
The following is a DFT calculation (PBE) of a geometry-optimized MoAs2Pt2 structure.

Output
**Symmetry**: I4/mmm, No. 139
**Energy of formation**: 0.367 eV per atom
**D(E_F)**: 3.3 states/eV per cell

Cell lengths 6.934, 6.934, 6.934 Å; angles 148.88, 148.88, 44.58 degrees
Fractional positions:
Mo  0.000  0.000  0.000
As  0.394  0.394  0.000
As  0.606  0.606  0.000
Pt  0.250  0.750  0.500
Pt  0.750  0.250  0.500

Record 9
The following is a DFT calculation (PBE) of a geometry-optimized NdInTeSe structure.

Output
**Formation energy (no corrections)**: -1.117 eV/atom
**Symmetry**: R3m, No. 160

Cell lengths 8.542, 8.542, 8.542 Å; angles 29.77, 29.77, 29.77 degrees
Fractional positions:
Nd  0.000  0.000  0.000
In  0.828  0.828  0.828
Te  0.585  0.585  0.585
Se  0.395  0.395  0.395

Record 10
The following is a DFT calculation (PBE) of a geometry-optimized Y2InTeP structure.

Output
**Formation energy (no corrections)**: 0.542 eV/atom
**Symmetry**: P4/mmm, No. 123
**D(E_F)**: 5.2 states/eV per cell

Cell lengths 5.775, 5.775, 5.206 Å; angles 90.00, 90.00, 90.00 degrees
Fractional positions:
Y  0.000  0.500  0.000
Y  0.500  0.000  0.000
In  0.000  0.000  0.000
Te  0.000  0.000  0.500
P  0.500  0.500  0.500

Record 11
The following is a DFT calculation (PBE) of a geometry-optimized Ce3Ge2Au4 structure.

Output
**Symmetry**: C2/m, No. 12
**Energy of formation**: -0.721 eV per atom
**D(E_F)**: 16.5 states/eV per cell

Cell lengths 5.928, 5.928, 8.836 Å; angles 111.24, 111.24, 45.72 degrees
Fractional positions:
Ce  0.000  0.000  0.000
Ce  0.338  0.338  0.328
Ce  0.662  0.662  0.672
Ge  0.385  0.385  0.716
Ge  0.615  0.615  0.284
Au  0.068  0.068  0.396
Au  0.287  0.287  0.943
Au  0.713  0.713  0.057
Au  0.932  0.932  0.604

Record 12
The following is a DFT calculation (PBE) of a geometry-optimized Tm2Ga3Ag structure.

Output
**Symmetry**: Fmmm, No. 69
**Energy of formation**: -0.547 eV per atom
**D(E_F)**: 6.4 states/eV per cell

Cell lengths 8.917, 8.507, 5.689 Å; angles 74.90, 67.08, 38.03 degrees
Fractional positions:
Tm  0.245  0.755  0.755
Tm  0.250  0.250  0.250
Tm  0.750  0.750  0.750
Tm  0.755  0.245  0.245
Ga  0.170  0.665  0.335
Ga  0.335  0.830  0.170
Ga  0.336  0.336  0.664
Ga  0.664  0.664  0.336
Ga  0.665  0.170  0.830
Ga  0.830  0.335  0.665
Ag  0.168  0.168  0.832
Ag  0.832  0.832  0.168